[1]
Nd2MnPt9 | PBE | optimized geometry

POSCAR file:
```
Nd2MnPt9
1.0
-2.5760 -4.6438 -1.0832
-1.2633 -3.4011 4.0263
-9.1129 1.4272 1.9941
Nd Mn Pt
2 1 9
direct
0.8638 0.8638 0.4087
0.1362 0.1362 0.5913
0.0000 0.0000 0.0000
0.6673 0.6673 0.9982
0.3327 0.3327 0.0018
0.5000 0.5000 0.5000
0.4144 0.4144 0.2514
0.9198 0.4144 0.2514
0.4144 0.9198 0.2514
0.5856 0.5856 0.7486
0.5856 0.0802 0.7486
0.0802 0.5856 0.7486
```

Summary:
DOS at the Fermi energy, states/eV per cell: 9.6
Magnetization, μB/cell: 4.63
Energy relative to the elements, eV per formula unit: -6.82

---

[2]
Nd2MnSi3Pt4 | PBE | optimized geometry

POSCAR file:
```
Nd2MnSi3Pt4
1.0
4.2864 0.0000 0.0000
0.0000 4.2864 0.0000
0.0000 0.0000 9.9722
Nd Mn Si Pt
2 1 3 4
direct
0.5000 0.0000 0.2539
0.0000 0.5000 0.7461
0.5000 0.5000 0.5000
0.0000 0.0000 0.5000
0.5000 0.0000 0.8727
0.0000 0.5000 0.1273
0.5000 0.5000 0.0000
0.0000 0.0000 0.0000
0.5000 0.0000 0.6344
0.0000 0.5000 0.3656
```

Summary:
DOS at the Fermi energy, states/eV per cell: 7.0
Total DFT energy (no corrections), eV/atom: -6.897
Magnetization, μB/cell: 3.74

---

[3]
Nd2MnSiPt6 | PBE | optimized geometry

POSCAR file:
```
Nd2MnSiPt6
1.0
-2.4443 -3.7315 -5.1223
2.0417 -5.7618 2.1248
-4.2977 -7.0984 0.0844
Nd Mn Si Pt
2 1 1 6
direct
0.7380 0.2620 0.4618
0.2620 0.7380 0.5382
0.0000 0.0000 0.0000
0.5000 0.5000 0.0000
0.2521 0.2448 0.4912
0.7552 0.7480 0.9880
0.2503 0.7497 0.1390
0.7497 0.2503 0.8610
0.2448 0.2520 0.0120
0.7479 0.7552 0.5088
```

Summary:
DOS at the Fermi energy, states/eV per cell: 4.8
Total DFT energy (no corrections), eV/atom: -6.827
Magnetization, μB/cell: 3.87

---

[4]
Nd2MnSn4Pt3 | PBE | optimized geometry

POSCAR file:
```
Nd2MnSn4Pt3
1.0
-4.0743 1.7949 -0.2432
-1.3733 -2.6709 3.2956
3.0128 7.8735 7.6363
Nd Mn Sn Pt
2 1 4 3
direct
0.5000 0.0000 0.2566
0.0000 0.5000 0.7434
0.5000 0.5000 0.5000
0.5000 0.5000 0.0000
0.0000 0.0000 0.0000
0.5000 0.0000 0.6341
0.0000 0.5000 0.3659
0.0000 0.0000 0.5000
0.5000 0.0000 0.8649
0.0000 0.5000 0.1351
```

Summary:
DOS at the Fermi energy, states/eV per cell: 5.2
Magnetization, μB/cell: 3.77
Energy relative to the elements, eV per formula unit: -7.13

---

[5]
NdMnZnPt3 | PBE | optimized geometry

POSCAR file:
```
NdMnZnPt3
1.0
-4.4024 -2.0397 2.8437
2.8304 -4.8247 0.9211
1.6293 5.5244 6.4849
Nd Mn Zn Pt
2 2 2 6
direct
0.7500 0.3016 0.6031
0.2500 0.6984 0.3969
0.2500 0.0940 0.1880
0.7500 0.9060 0.8120
0.2500 0.3999 0.7997
0.7500 0.6001 0.2003
0.2500 0.2473 0.4946
0.0000 0.2552 0.0000
0.5000 0.7448 0.0000
0.5000 0.2552 0.0000
0.0000 0.7448 0.0000
0.7500 0.7527 0.5054
```

Summary:
DOS at the Fermi energy, states/eV per cell: 7.1
Magnetization, μB/cell: 8.42
Energy relative to the elements, eV per formula unit: -2.13

---

[6]
NdPuMn | PBE | optimized geometry

POSCAR file:
```
NdPuMn
1.0
3.5036 0.0000 0.0000
0.0000 3.5036 0.0000
-1.7518 -1.7518 5.7402
Mn Nd Pu
1 1 1
direct
0.6940 0.6940 0.3880
0.0094 0.0094 0.0188
0.2966 0.2966 0.5932
```

Summary:
Excess energy over the best structure of this formula in the dataset, meV/atom: 0
DOS at the Fermi energy, states/eV per cell: 5.9
Magnetization, μB/cell: 3.20
Energy relative to the elements, eV per formula unit: 0.51

---

no.,calculated volume (Å³/atom)
1,18.874
2,18.322
3,20.012
4,22.614
5,21.778
6,23.487